Crystalline AcTl6Hg2 at its relaxed geometry, computed with PBE-GGA.

```
data_AcTl6Hg2
_chemical_formula_sum 'Ac1 Tl6 Hg2'
_space_group_name_H-M_alt 'P 1'
_space_group_IT_number 1
_space_group_name_Hall 'P 1'
_cell_length_a 3.591
_cell_length_b 9.542
_cell_length_c 9.542
_cell_angle_alpha 59.94
_cell_angle_beta 81.59
_cell_angle_gamma 81.59
loop_
_atom_site_label
_atom_site_type_symbol
_atom_site_fract_x
_atom_site_fract_y
_atom_site_fract_z
Tl1 Tl 0.678 0.996 0.648
Tl2 Tl 0.322 0.004 0.352
Tl3 Tl 0.678 0.648 0.996
Tl4 Tl 0.500 0.335 0.665
Tl5 Tl 0.500 0.665 0.335
Tl6 Tl 0.322 0.352 0.004
Hg1 Hg 0.906 0.650 0.650
Hg2 Hg 0.094 0.350 0.350
Ac1 Ac 0.000 0.000 0.000
```

- E: -2.137 eV/atom
- Space-group type: C2/m (12)
- Crystal system: monoclinic